1.
BaZn2Sb | Alexandria | PBE-GGA | optimized geometry; uncorrected formation energy = -0.15 eV/atom; M_tot = 0.00 μB per formula unit
1.0
0.000 3.884 3.884
3.884 0.000 3.884
3.884 3.884 0.000
Ba Zn Sb
1 2 1
direct
0.000 0.000 0.000
0.250 0.250 0.250
0.500 0.500 0.500
0.750 0.750 0.750

2.
Sm2MgN2Cl2 | Alexandria | PBE-GGA | optimized geometry; uncorrected formation energy = -1.51 eV/atom; M_tot = 0.00 μB per formula unit
1.0
-2.044 2.044 7.402
2.044 -2.044 7.402
2.044 2.044 -7.402
Sm Mg N Cl
2 1 2 2
direct
0.100 0.100 0.000
0.900 0.900 0.000
0.500 0.500 0.000
0.000 0.500 0.500
0.500 0.000 0.500
0.311 0.311 0.000
0.689 0.689 0.000

3.
Al2Zn2Sb | Alexandria | PBE-GGA | optimized geometry; uncorrected formation energy = 0.15 eV/atom; M_tot = 0.00 μB per formula unit
1.0
7.775 0.000 0.000
0.000 7.775 0.000
0.000 0.000 3.116
Al Zn Sb
4 4 2
direct
0.181 0.319 0.000
0.319 0.819 0.000
0.681 0.181 0.000
0.819 0.681 0.000
0.118 0.618 0.500
0.382 0.118 0.500
0.618 0.882 0.500
0.882 0.382 0.500
0.000 0.000 0.500
0.500 0.500 0.500

4.
Cs4H3F | Alexandria | PBE-GGA | optimized geometry; energy = -2.706 eV/atom; M_tot = 0.00 μB per formula unit
1.0
6.317 0.000 0.000
0.000 6.317 0.000
0.000 0.000 6.317
Cs H F
4 3 1
direct
0.000 0.000 0.000
0.000 0.500 0.500
0.500 0.000 0.500
0.500 0.500 0.000
0.000 0.000 0.500
0.000 0.500 0.000
0.500 0.000 0.000
0.500 0.500 0.500

5.
Li2SbSe3 | Alexandria | PBE-GGA | optimized geometry; uncorrected formation energy = -0.71 eV/atom; M_tot = 0.00 μB per formula unit
1.0
3.399 -5.895 0.000
3.399 5.895 0.000
-2.261 0.000 6.495
Li Sb Se
4 2 6
direct
0.000 0.000 0.000
0.187 0.813 0.500
0.500 0.500 0.500
0.813 0.187 0.500
0.335 0.665 0.000
0.665 0.335 0.000
0.081 0.413 0.247
0.254 0.254 0.740
0.413 0.081 0.247
0.587 0.919 0.753
0.746 0.746 0.260
0.919 0.587 0.753

6.
LaNd6Sm2Er | Alexandria | PBE-GGA | optimized geometry; calculated formation energy = 2.6 kcal/mol of atoms; M_tot = 0.00 μB per formula unit
1.0
4.659 -7.714 0.000
4.659 7.714 0.000
-1.273 0.000 9.753
La Nd Sm Er
2 12 4 2
direct
0.023 0.977 0.750
0.977 0.023 0.250
0.013 0.566 0.687
0.120 0.751 0.055
0.249 0.880 0.445
0.295 0.507 0.882
0.434 0.987 0.813
0.493 0.705 0.618
0.507 0.295 0.382
0.566 0.013 0.187
0.705 0.493 0.118
0.751 0.120 0.555
0.880 0.249 0.945
0.987 0.434 0.313
0.199 0.300 0.546
0.300 0.199 0.046
0.700 0.801 0.954
0.801 0.700 0.454
0.410 0.590 0.250
0.590 0.410 0.750